## KPmSeS (GGA-PBE)

Data for crystalline KPmSeS at its relaxed geometry.

Summary:
Its formation energy (no corrections) is -171 kJ per mole of atoms.

abc: 4.2133 4.2133 23.2474
angles: 90.00 90.00 120.00
Last column: nearest neighbours and their distance in Å.
Space group R3m (No. 160, hexagonal axes)
One atom of each set of equivalent atoms:
K  0.0000  0.0000  0.0000 x3  3 Se 3.29, 3 S 3.38
Pm  0.0000  0.0000  0.1651 x3  3 S 2.86, 3 Se 2.96
Se  0.0000  0.0000  0.5711 x3  3 Pm 2.96, 3 K 3.29
S  0.0000  0.0000  0.7674 x3  3 Pm 2.86